Entry 1:
Below is a geometry-optimized Si2PRu structure, with properties calculated at the GGA-PBE level.

The structure in extended XYZ format:
```
4
Lattice="4.206 -1.499 0.000 4.206 1.499 0.000 -0.413 0.000 4.347" Properties=species:S:1:pos:R:3 pbc="T T T"
Si 1.861 0.000 1.043
Si 6.138 0.000 3.304
P -0.207 0.000 2.173
Ru 4.206 0.000 0.000
```

Summary:
* formation energy from raw total energies: 0.061 eV/atom
* crystal system: monoclinic
* space-group type: No. 12
* V: 54.81 Å³/f.u.
* total magnetic moment: 0.00 μB/f.u.

---

Entry 2:
Below is a geometry-optimized RbLi2MgTl structure, with properties calculated at the GGA-PBE level.

The structure in extended XYZ format:
```
5
Lattice="5.562 0.000 0.000 0.000 5.562 0.000 0.000 0.000 5.424" Properties=species:S:1:pos:R:3 pbc="T T T"
Rb 0.000 0.000 0.000
Li 0.000 2.781 2.712
Li 2.781 0.000 2.712
Mg 2.781 2.781 0.000
Tl 2.781 2.781 2.712
```

Summary:
* crystal system: tetragonal
* space-group type: No. 123
* V: 167.77 Å³/f.u.
* energy of formation from the pure elements: 0.036 eV/atom
* total magnetic moment: 0.00 μB/f.u.

---

What is the formula in the second record?
RbLi2MgTl

---

Repeat the second record exactly.
Below is a geometry-optimized RbLi2MgTl structure, with properties calculated at the GGA-PBE level.

The structure in extended XYZ format:
```
5
Lattice="5.562 0.000 0.000 0.000 5.562 0.000 0.000 0.000 5.424" Properties=species:S:1:pos:R:3 pbc="T T T"
Rb 0.000 0.000 0.000
Li 0.000 2.781 2.712
Li 2.781 0.000 2.712
Mg 2.781 2.781 0.000
Tl 2.781 2.781 2.712
```

Summary:
* crystal system: tetragonal
* space-group type: No. 123
* V: 167.77 Å³/f.u.
* energy of formation from the pure elements: 0.036 eV/atom
* total magnetic moment: 0.00 μB/f.u.